Compound: MoIrCl2
Source: Alexandria
Functional: PBE
Structure: relaxed

a b c (Å): 13.2937 2.9804 4.6441
angles (deg): 90.00 95.33 90.00
With the nearest neighbours (Å) after each atom.
Space group C2/m (No. 12)
Symmetry-distinct sites (fractional):
Mo 0.0000 0.0000 0.0000 [2 per cell]  4 Cl 2.49, 4 Ir 2.76
Ir 0.0000 0.5000 0.5000 [2 per cell]  2 Cl 2.34
Cl 0.1367 0.5000 0.2164 [4 per cell]  1 Ir 2.34, 2 Mo 2.49

Properties
Excess energy over the best structure of this formula in the dataset in meV/atom: 342
Final energy in eV per atom: -5.737

Compound: LiTe2
Source: Alexandria
Functional: PBE
Structure: relaxed

a b c (Å): 5.3165 5.3165 6.3059
angles (deg): 90.00 90.00 120.00
With the nearest neighbours (Å) after each atom.
Space group P6_3/mmc (No. 194)
Symmetry-distinct sites (fractional):
Li 0.3333 0.6667 0.2500 [2 per cell]  5 Te 3.07-3.15
Te 0.0000 0.0000 0.0000 [2 per cell]  8 Te 3.15-3.45, 6 Li 3.45
Te 0.3333 0.6667 0.7500 [2 per cell]  5 Li 3.07-3.15

Properties
Excess energy over the best structure of this formula in the dataset in meV/atom: 288
Final energy in eV per atom: -2.907

Compound: TiCoP2
Source: Alexandria
Functional: PBE
Structure: relaxed

a b c (Å): 5.8857 5.8857 5.8857
angles (deg): 90.00 90.00 90.00
With the nearest neighbours (Å) after each atom.
Space group Fm-3m (No. 225)
Symmetry-distinct sites (fractional):
Ti 0.0000 0.0000 0.0000 [4 per cell]  8 P 2.55
Co 0.0000 0.0000 0.5000 [4 per cell]  8 P 2.55
P 0.2500 0.2500 0.2500 [8 per cell]  4 Co 2.55, 4 Ti 2.55

Properties
Excess energy over the best structure of this formula in the dataset in meV/atom: 0
ΔE_f in eV/atom: -0.357
Final energy in eV per atom: -6.812

Compound: PmSc2Ni
Source: Alexandria
Functional: PBE
Structure: relaxed

a b c (Å): 4.3331 4.3331 17.8130
angles (deg): 90.00 90.00 120.00
With the nearest neighbours (Å) after each atom.
Space group R3m (No. 160, hexagonal axes)
Symmetry-distinct sites (fractional):
Pm 0.0000 0.0000 0.0000 [3 per cell]  1 Ni 3.18, 6 Sc 3.26-3.30
Sc 0.0000 0.0000 0.2122 [3 per cell]  3 Ni 2.70, 3 Sc 3.02
Sc 0.0000 0.0000 0.4508 [3 per cell]  3 Ni 2.59
Ni 0.0000 0.0000 0.8217 [3 per cell]  6 Sc 2.59-2.70

Properties
Excess energy over the best structure of this formula in the dataset in meV/atom: 163
ΔE_f in eV/atom: -0.065
Final energy in eV per atom: -5.864

Compound: SrCa2MgHg4
Source: Alexandria
Functional: PBE
Structure: relaxed

a b c (Å): 5.2602 5.2602 27.3368
angles (deg): 90.00 90.00 120.00
With the nearest neighbours (Å) after each atom.
Space group R-3m (No. 166, hexagonal axes)
Symmetry-distinct sites (fractional):
Sr 0.0000 0.0000 0.0000 [3 per cell]  8 Hg 3.36-3.44
Ca 0.0000 0.0000 0.2418 [6 per cell]  7 Hg 3.16-3.22
Mg 0.0000 0.0000 0.5000 [3 per cell]  8 Hg 3.12-3.23
Hg 0.0000 0.0000 0.1260 [6 per cell]  4 Ca 3.16-3.18, 3 Mg 3.23, 1 Sr 3.44
Hg 0.0000 0.0000 0.3858 [6 per cell]  1 Mg 3.12, 3 Ca 3.22, 3 Sr 3.36

Properties
ΔE_f in eV/atom: -0.457
Final energy in eV per atom: -1.518

Compound: Ba2LiHg
Source: Alexandria
Functional: PBE
Structure: relaxed

a b c (Å): 9.4223 9.4223 7.9130
angles (deg): 90.00 90.00 90.00
With the nearest neighbours (Å) after each atom.
Space group I-42d (No. 122)
Symmetry-distinct sites (fractional):
Ba 0.2337 0.7500 0.1250 [8 per cell]  2 Hg 3.37, 2 Li 3.58
Li 0.0000 0.0000 0.5000 [4 per cell]  4 Ba 3.58, 2 Hg 3.96
Hg 0.0000 0.0000 0.0000 [4 per cell]  4 Ba 3.37

Properties
ΔE_f in eV/atom: -0.029
Final energy in eV per atom: -1.544

Spin magnetization values, unit μB/cell, following the record order: 1.95 0.00 1.69 0.00 0.00 0.00.